1.
Compound: RbCa2Gd
Source: the Alexandria database
Functional: PBE-GGA
Structure: optimized geometry

a = 3.9145 Å, b = 3.9145 Å, c = 12.2155 Å
α = 90.00°, β = 90.00°, γ = 90.00°
Last column: nearest neighbours and their distance in Å.
Space group P4/mmm (No. 123)
Asymmetric unit:
Rb: 0.0000 0.0000 0.0000 (multiplicity 1)  4 Rb 3.91
Ca: 0.5000 0.5000 0.2965 (multiplicity 2)  4 Gd 3.72, 4 Ca 3.91
Gd: 0.0000 0.0000 0.5000 (multiplicity 1)  8 Ca 3.72, 4 Gd 3.91

As for the density of states at the Fermi level: 1.64 states/eV/atom. Its crystal system is tetragonal. The total DFT energy (no corrections) is -0.33737 Ry per atom. Its total magnetic moment is 8.22 μB/cell. The calculation puts the volume at 46.8 Å³/atom. As for the density: 2.9 Mg/m³.

---

2.
Compound: KScW2
Source: the Alexandria database
Functional: PBE-GGA
Structure: optimized geometry

a = 3.2912 Å, b = 4.8962 Å, c = 14.6896 Å
α = 90.00°, β = 90.00°, γ = 90.00°
Last column: nearest neighbours and their distance in Å.
Space group Imm2 (No. 44)
Asymmetric unit:
K: 0.0000 0.0000 0.0000 (multiplicity 2)  2 K 3.29, 2 W 3.67
Sc: 0.0000 0.5000 0.2458 (multiplicity 2)  6 W 2.84-2.97
W: 0.0000 0.0000 0.3438 (multiplicity 2)  2 W 2.42
W: 0.0000 0.5000 0.7233 (multiplicity 2)  2 W 2.42

As for the density of states at the Fermi level: 0.93 states/eV/atom. Its crystal system is orthorhombic. The total DFT energy (no corrections) is -0.53903 Ry per atom. Its total magnetic moment is 0.00 μB/cell. The calculation puts the volume at 29.6 Å³/atom. As for the density: 6.3 Mg/m³.